Crystalline Ca3Tb2PaP6 at its relaxed geometry. Source: the Alexandria database, functional PBE.

Lattice parameters (Å, degrees): 7.078 7.078 7.058 99.63 99.63 120.05
Fractional coordinates of all 12 atoms:
Ca  0.169  0.831  0.500
Ca  0.831  0.169  0.500
Ca  0.500  0.500  0.500
Tb  0.333  0.667  0.000
Tb  0.667  0.333  0.000
Pa  0.000  0.000  0.000
P  0.922  0.598  0.767
P  0.753  0.753  0.233
P  0.078  0.402  0.233
P  0.598  0.922  0.767
P  0.247  0.247  0.767
P  0.402  0.078  0.233

Output
The total energy is -72.784 eV/cell. The value obtained for the energy of formation is -1.2970 eV/atom. The calculation puts the total magnetization at 0.00 μB per atom.


Crystalline CaTb2PaP4 at its relaxed geometry. Source: the Alexandria database, functional PBE.

Lattice parameters (Å, degrees): 5.694 5.694 6.972 114.10 114.10 90.00
Fractional coordinates of all 8 atoms:
Ca  0.500  0.500  0.000
Tb  0.250  0.750  0.500
Tb  0.000  0.000  0.000
Pa  0.750  0.250  0.500
P  0.991  0.491  0.982
P  0.509  0.009  0.018
P  0.754  0.754  0.507
P  0.246  0.246  0.493

Output
The total energy is -53.836 eV/cell. The value obtained for the energy of formation is -1.4298 eV/atom. The calculation puts the total magnetization at 0.00 μB per atom.


Q: Which value of energy of formation does entry 2 give?
A: -1.4298 eV/atom